Record 1
The following is a DFT calculation (GGA-PBE) of a relaxed RbPa2Cl8 crystal.

Unit cell a=5.3982 b=7.3485 c=8.8397 alpha=114.56 beta=107.78 gamma=90.00
Last column: nearest neighbours and their distance in Å.
Sites, in units of the cell vectors:
Pa 0.3421 0.3421 0.6841  8 Cl 2.77-2.96
Pa 0.6579 0.6579 0.3159  8 Cl 2.77-2.96
Cl 0.5000 0.2747 0.0000  2 Pa 2.91
Cl 0.5422 0.9496 0.5960  2 Pa 2.77-2.96
Cl 0.4578 0.3536 0.4040  2 Pa 2.77-2.96
Cl 0.5000 0.7253 0.0000  2 Pa 2.91
Cl 0.0538 0.6464 0.5960  2 Pa 2.77-2.96
Cl 0.8950 0.3950 0.7900  2 Pa 2.82
Cl 0.9462 0.0504 0.4040  2 Pa 2.77-2.96
Cl 0.1050 0.6050 0.2100  2 Pa 2.82
Rb 0.0000 0.0000 0.0000  8 Cl 3.37-3.54

Values from the calculation:
**Excess energy over the best structure of this formula in the dataset**: 26 meV/atom
**Symmetry**: I222
**DOS(E_F)**: 13.768 states/eV/cell


Record 2
The following is a DFT calculation (GGA-PBE) of a relaxed RbPa2Cl8 crystal.

Unit cell a=7.8181 b=8.1830 c=8.1830 alpha=54.91 beta=97.08 gamma=97.08
Last column: nearest neighbours and their distance in Å.
Sites, in units of the cell vectors:
Cl 0.2372 0.8335 0.8335  1 Pa 2.59
Cl 0.3352 0.8889 0.3707  2 Pa 2.77
Cl 0.7548 0.6492 0.6492  1 Pa 2.56
Cl 0.3352 0.3707 0.8889  2 Pa 2.77
Cl 0.2452 0.3508 0.3508  1 Pa 2.56
Cl 0.6648 0.6293 0.1111  2 Pa 2.77
Cl 0.7628 0.1665 0.1665  1 Pa 2.59
Cl 0.6648 0.1111 0.6293  2 Pa 2.77
Pa 0.4987 0.2564 0.2564  6 Cl 2.56-2.77
Pa 0.5013 0.7436 0.7436  6 Cl 2.56-2.77
Rb 0.0000 0.0000 0.0000  6 Cl 3.24-3.51

Values from the calculation:
**Excess energy over the best structure of this formula in the dataset**: 0 meV/atom
**Symmetry**: C2/m
**DOS(E_F)**: 5.309 states/eV/cell


Record 3
The following is a DFT calculation (GGA-PBE) of a relaxed Rb2PaCl7 crystal.

Unit cell a=8.6905 b=9.8525 c=10.4230 alpha=74.59 beta=65.36 gamma=63.83
Last column: nearest neighbours and their distance in Å.
Sites, in units of the cell vectors:
Rb 0.2468 0.5933 0.7889  7 Cl 3.32-3.55
Rb 0.7532 0.4067 0.2111  7 Cl 3.32-3.55
Rb 0.6290 0.9067 0.7111  7 Cl 3.32-3.55
Rb 0.3710 0.0933 0.2889  7 Cl 3.32-3.55
Cl 0.9817 0.6411 0.1256  1 Pa 2.69
Cl 0.9756 0.9626 0.7256  1 Pa 2.64
Cl 0.3362 0.4626 0.2256  1 Pa 2.64
Cl 0.2519 0.8372 0.9831  1 Pa 2.60
Cl 0.4216 0.7500 0.2500  1 Pa 2.67
Cl 0.9278 0.3372 0.4831  1 Pa 2.60
Cl 0.0722 0.6628 0.5169  1 Pa 2.60
Cl 0.5784 0.2500 0.7500  1 Pa 2.67
Cl 0.7481 0.1628 0.0169  1 Pa 2.60
Cl 0.2516 0.1411 0.6256  1 Pa 2.69
Cl 0.7484 0.8589 0.3744  1 Pa 2.69
Cl 0.0183 0.3589 0.8744  1 Pa 2.69
Cl 0.0244 0.0374 0.2744  1 Pa 2.64
Cl 0.6638 0.5374 0.7744  1 Pa 2.64
Pa 0.8858 0.2500 0.7500  7 Cl 2.60-2.69
Pa 0.1142 0.7500 0.2500  7 Cl 2.60-2.69

Values from the calculation:
**Electronic total energy**: -4.35 eV/atom
**Symmetry**: C2/c
**DOS(E_F)**: 0.000 states/eV/cell


Record 4
The following is a DFT calculation (GGA-PBE) of a relaxed Rb2PaCl8 crystal.

Unit cell a=5.0393 b=8.6097 c=10.5660 alpha=94.67 beta=90.00 gamma=107.02
Last column: nearest neighbours and their distance in Å.
Sites, in units of the cell vectors:
Pa 0.5000 0.0000 0.0000  4 Cl 2.54-2.63
Cl 0.2262 0.4524 0.5493  2 Cl 2.86, 1 Rb 3.19
Cl 0.6599 0.3198 0.0427  1 Pa 2.63
Cl 0.3401 0.6802 0.9573  1 Pa 2.63
Cl 0.5408 0.0816 0.7733  1 Pa 2.54
Cl 0.0539 0.1078 0.1190  2 Pa 2.92, 5 Cl 2.95-3.22
Cl 0.9461 0.8922 0.8810  2 Pa 2.92, 5 Cl 2.95-3.22
Cl 0.7738 0.5476 0.4507  2 Cl 2.86, 1 Rb 3.19
Cl 0.4592 0.9184 0.2267  1 Pa 2.54
Rb 0.7514 0.5029 0.7478  6 Cl 3.19-3.57
Rb 0.2486 0.4971 0.2522  6 Cl 3.19-3.57

Values from the calculation:
**Excess energy over the best structure of this formula in the dataset**: 3 meV/atom
**Symmetry**: C2/m
**DOS(E_F)**: 0.120 states/eV/cell


Record 5
The following is a DFT calculation (GGA-PBE) of a relaxed RbPaCl4 crystal.

Unit cell a=7.0437 b=7.7634 c=8.9584 alpha=103.91 beta=105.17 gamma=89.09
Last column: nearest neighbours and their distance in Å.
Sites, in units of the cell vectors:
Cl 0.4724 0.0572 0.8020  1 Pa 2.69
Cl 0.8012 0.4599 0.1860  1 Pa 2.74
Cl 0.3038 0.6659 0.4279  2 Pa 2.80-2.81
Cl 0.1988 0.5401 0.8140  1 Pa 2.74
Cl 0.1586 0.1746 0.3979  2 Pa 2.79
Cl 0.6962 0.3341 0.5721  2 Pa 2.80-2.81
Cl 0.8414 0.8254 0.6021  2 Pa 2.79
Cl 0.5276 0.9428 0.1980  1 Pa 2.69
Pa 0.0000 0.5000 0.5000  6 Cl 2.74-2.80
Pa 0.5000 0.0000 0.5000  6 Cl 2.69-2.81
Rb 0.3243 0.3099 0.0986  6 Cl 3.30-3.56
Rb 0.6757 0.6901 0.9014  6 Cl 3.30-3.56

Values from the calculation:
**Electronic total energy**: -4.72 eV/atom
**Symmetry**: P-1
**DOS(E_F)**: 11.562 states/eV/cell


Record 6
The following is a DFT calculation (GGA-PBE) of a relaxed Rb2PaCl5 crystal.

Unit cell a=4.1685 b=9.5526 c=13.4441 alpha=90.00 beta=90.00 gamma=90.00
Last column: nearest neighbours and their distance in Å.
Sites, in units of the cell vectors:
Cl 0.0000 0.5000 0.0000  4 Rb 3.13
Cl 0.0000 0.1388 0.8233  1 Pa 2.72
Cl 0.5000 0.6634 0.4230  2 Pa 2.80
Cl 0.5000 0.1634 0.0770  2 Pa 2.80
Cl 0.0000 0.6388 0.6767  1 Pa 2.72
Cl 0.0000 0.3612 0.3233  1 Pa 2.72
Cl 0.5000 0.8366 0.9230  2 Pa 2.80
Cl 0.0000 0.8612 0.1767  1 Pa 2.72
Cl 0.5000 0.3366 0.5770  2 Pa 2.80
Cl 0.0000 0.0000 0.5000  4 Rb 3.13
Rb 0.5000 0.0618 0.3323  2 Cl 3.13
Rb 0.5000 0.5618 0.1677  2 Cl 3.13
Rb 0.5000 0.4382 0.8323  2 Cl 3.13
Rb 0.5000 0.9382 0.6677  2 Cl 3.13
Pa 0.0000 0.5000 0.5000  6 Cl 2.72-2.80
Pa 0.0000 0.0000 0.0000  6 Cl 2.72-2.80

Values from the calculation:
**Electronic total energy**: -4.39 eV/atom
**Symmetry**: Pbam
**DOS(E_F)**: 4.471 states/eV/cell


Record 7
The following is a DFT calculation (GGA-PBE) of a relaxed RbPaCl5 crystal.

Unit cell a=7.8204 b=7.8204 c=10.8954 alpha=70.69 beta=70.69 gamma=70.32
Last column: nearest neighbours and their distance in Å.
Sites, in units of the cell vectors:
Cl 0.0594 0.9406 0.2500  2 Pa 2.78
Cl 0.9406 0.0594 0.7500  2 Pa 2.78
Cl 0.2845 0.1452 0.8882  1 Pa 2.59
Cl 0.3337 0.7701 0.5059  1 Pa 2.63
Cl 0.1452 0.2845 0.3882  1 Pa 2.59
Cl 0.6663 0.2299 0.4941  1 Pa 2.63
Cl 0.2299 0.6663 0.9941  1 Pa 2.63
Cl 0.7155 0.8548 0.1118  1 Pa 2.59
Cl 0.8548 0.7155 0.6118  1 Pa 2.59
Cl 0.7701 0.3337 0.0059  1 Pa 2.63
Pa 0.0000 0.0000 0.0000  6 Cl 2.59-2.78
Pa 0.0000 0.0000 0.5000  6 Cl 2.59-2.78
Rb 0.5380 0.4620 0.7500  7 Cl 3.35-3.63
Rb 0.4620 0.5380 0.2500  7 Cl 3.35-3.63

Values from the calculation:
**Electronic total energy**: -4.75 eV/atom
**Symmetry**: C2/c
**DOS(E_F)**: 2.898 states/eV/cell


Record 8
The following is a DFT calculation (GGA-PBE) of a relaxed RbPa2Cl11 crystal.

Unit cell a=12.5682 b=11.4209 c=11.4209 alpha=67.14 beta=56.62 gamma=56.62
Last column: nearest neighbours and their distance in Å.
Sites, in units of the cell vectors:
Cl 0.6208 0.1882 0.0648  1 Pa 2.54
Cl 0.3312 0.3701 0.8810  1 Pa 2.55
Cl 0.3792 0.8118 0.9352  1 Pa 2.54
Cl 0.3738 0.3118 0.4352  1 Pa 2.54
Cl 0.9177 0.8701 0.3810  1 Pa 2.55
Cl 0.0823 0.1299 0.6190  1 Pa 2.55
Cl 0.7841 0.8043 0.1957  1 Pa 2.48
Cl 0.6262 0.6882 0.5648  1 Pa 2.54
Cl 0.8312 0.3810 0.8701  1 Pa 2.55
Cl 0.5000 0.5000 0.5000  2 Pa 2.76
Cl 0.6688 0.6299 0.1190  1 Pa 2.55
Cl 0.8792 0.4352 0.3118  1 Pa 2.54
Cl 0.0000 0.0000 0.0000  2 Pa 2.76
Cl 0.1688 0.6190 0.1299  1 Pa 2.55
Cl 0.7159 0.3043 0.6957  1 Pa 2.48
Cl 0.2841 0.6957 0.3043  1 Pa 2.48
Cl 0.4177 0.8810 0.3701  1 Pa 2.55
Cl 0.5823 0.1190 0.6299  1 Pa 2.55
Cl 0.8738 0.9352 0.8118  1 Pa 2.54
Cl 0.1208 0.5648 0.6882  1 Pa 2.54
Cl 0.2159 0.1957 0.8043  1 Pa 2.48
Cl 0.1262 0.0648 0.1882  1 Pa 2.54
Rb 0.2500 0.2500 0.2500  8 Cl 3.61-3.66
Rb 0.7500 0.7500 0.7500  8 Cl 3.61-3.66
Pa 0.3500 0.3401 0.6599  6 Cl 2.48-2.76
Pa 0.1500 0.8401 0.1599  6 Cl 2.48-2.76
Pa 0.8500 0.1599 0.8401  6 Cl 2.48-2.76
Pa 0.6500 0.6599 0.3401  6 Cl 2.48-2.76

Values from the calculation:
**Electronic total energy**: -4.76 eV/atom
**Symmetry**: Ibam
**DOS(E_F)**: 0.000 states/eV/cell


Record 9
The following is a DFT calculation (GGA-PBE) of a relaxed Rb2PaCl8 crystal.

Unit cell a=5.0334 b=7.1750 c=11.6502 alpha=100.66 beta=102.48 gamma=90.00
Last column: nearest neighbours and their distance in Å.
Sites, in units of the cell vectors:
Cl 0.5652 0.3355 0.1305  1 Pa 2.58
Cl 0.9830 0.1897 0.9659  2 Pa 2.92, 5 Cl 2.97-3.23
Cl 0.2592 0.4131 0.5184  2 Cl 2.87, 1 Rb 3.19
Cl 0.7408 0.5869 0.4816  2 Cl 2.87, 1 Rb 3.19
Cl 0.3942 0.0821 0.7884  1 Pa 2.58
Cl 0.4348 0.6645 0.8695  1 Pa 2.58
Cl 0.6058 0.9179 0.2116  1 Pa 2.58
Cl 0.0170 0.8103 0.0341  2 Pa 2.92, 5 Cl 2.97-3.23
Pa 0.5000 0.0000 0.0000  4 Cl 2.58
Rb 0.8538 0.3829 0.7076  8 Cl 3.19-3.55
Rb 0.1462 0.6171 0.2924  8 Cl 3.19-3.55

Values from the calculation:
**Excess energy over the best structure of this formula in the dataset**: 0 meV/atom
**Symmetry**: C2/m
**DOS(E_F)**: 0.102 states/eV/cell


Record 10
The following is a DFT calculation (GGA-PBE) of a relaxed RbPaCl2 crystal.

Unit cell a=3.6346 b=3.6346 c=10.6455 alpha=80.17 beta=80.17 gamma=60.00
Last column: nearest neighbours and their distance in Å.
Sites, in units of the cell vectors:
Rb 0.0000 0.0000 0.0000  2 Cl 3.23
Cl 0.1030 0.1030 0.6909  3 Pa 2.89, 1 Rb 3.23
Cl 0.8970 0.8970 0.3091  3 Pa 2.89, 1 Rb 3.23
Pa 0.5000 0.5000 0.5000  6 Cl 2.89

Values from the calculation:
**Electronic total energy**: -4.56 eV/atom
**Symmetry**: R-3m
**DOS(E_F)**: 4.191 states/eV/cell


Record 11
The following is a DFT calculation (GGA-PBE) of a relaxed Rb3Pa2S5Cl2 crystal.

Unit cell a=5.3097 b=5.3097 c=14.2430 alpha=100.74 beta=100.74 gamma=90.00
Last column: nearest neighbours and their distance in Å.
Sites, in units of the cell vectors:
S 0.9010 0.4010 0.8021  2 Pa 2.66
S 0.5990 0.0990 0.1979  2 Pa 2.66
S 0.5000 0.5000 0.0000  2 Pa 2.63
S 0.0990 0.5990 0.1979  2 Pa 2.66
S 0.4010 0.9010 0.8021  2 Pa 2.66
Cl 0.3032 0.3032 0.6065  1 Pa 2.77
Cl 0.6968 0.6968 0.3935  1 Pa 2.77
Pa 0.5958 0.5958 0.1916  5 S 2.63-2.66, 1 Cl 2.77
Pa 0.4042 0.4042 0.8084  5 S 2.63-2.66, 1 Cl 2.77
Rb 0.1808 0.1808 0.3615  1 Cl 3.36, 4 S 3.48
Rb 0.0000 0.0000 0.0000  12 S 3.75-3.80
Rb 0.8192 0.8192 0.6385  1 Cl 3.36, 4 S 3.48

Values from the calculation:
**Electronic total energy**: -5.53 eV/atom
**Symmetry**: I4/mmm
**DOS(E_F)**: 9.131 states/eV/cell


Record 12
The following is a DFT calculation (GGA-PBE) of a relaxed RbPaS3Cl crystal.

Unit cell a=6.8628 b=10.8288 c=9.2275 alpha=54.07 beta=73.51 gamma=61.07
Last column: nearest neighbours and their distance in Å.
Sites, in units of the cell vectors:
Cl 0.2500 0.5966 0.8068  1 S 2.58
Cl 0.7500 0.4034 0.1932  1 S 2.58
Pa 0.2500 0.9336 0.1328  5 S 2.46-2.63
Pa 0.7500 0.0664 0.8672  5 S 2.46-2.63
S 0.7500 0.2311 0.5379  1 Pa 2.46, 1 Cl 2.58
S 0.9470 0.2030 0.9036  2 Pa 2.59-2.63
S 0.4470 0.1066 0.0964  2 Pa 2.59-2.63
S 0.5530 0.8934 0.9036  2 Pa 2.59-2.63
S 0.0530 0.7970 0.0964  2 Pa 2.59-2.63
S 0.2500 0.7689 0.4621  1 Pa 2.46, 1 Cl 2.58
Rb 0.2500 0.3740 0.2521  3 Cl 3.33-3.46, 2 S 3.50
Rb 0.7500 0.6260 0.7479  3 Cl 3.33-3.46, 2 S 3.50

Values from the calculation:
**Electronic total energy**: -5.25 eV/atom
**Symmetry**: C2/c